Entry 1:
{"formula": "KBi2I2", "functional": "PBE", "state": "optimized geometry", "spacegroup": "I4/mmm", "e_form_raw_mev_per_atom": -418.0, "lattice": [[4.5354, 0.0000, 0.0000], [0.0000, 4.5354, 0.0000], [0.0000, 0.0000, 19.8704]], "species": ["K", "K", "Bi", "Bi", "Bi", "Bi", "I", "I", "I", "I"], "fractional_positions": [[0.0000, 0.0000, 0.0000], [0.5000, 0.5000, 0.5000], [0.0000, 0.5000, 0.2500], [0.0000, 0.5000, 0.7500], [0.5000, 0.0000, 0.2500], [0.5000, 0.0000, 0.7500], [0.0000, 0.0000, 0.4020], [0.0000, 0.0000, 0.5980], [0.5000, 0.5000, 0.0980], [0.5000, 0.5000, 0.9020]]}

Entry 2:
{"formula": "K12Bi3I5", "functional": "PBE", "state": "optimized geometry", "spacegroup": "Ia-3d", "e_form_raw_mev_per_atom": -809.8, "lattice": [[-10.3555, 10.3555, 10.3555], [10.3555, -10.3555, 10.3555], [10.3555, 10.3555, -10.3555]], "species": ["K", "K", "K", "K", "K", "K", "K", "K", "K", "K", "K", "K", "K", "K", "K", "K", "K", "K", "K", "K", "K", "K", "K", "K", "K", "K", "K", "K", "K", "K", "K", "K", "K", "K", "K", "K", "K", "K", "K", "K", "K", "K", "K", "K", "K", "K", "K", "K", "Bi", "Bi", "Bi", "Bi", "Bi", "Bi", "Bi", "Bi", "Bi", "Bi", "Bi", "Bi", "I", "I", "I", "I", "I", "I", "I", "I", "I", "I", "I", "I", "I", "I", "I", "I", "I", "I", "I", "I"], "fractional_positions": [[0.0575, 0.2270, 0.1400], [0.0575, 0.3305, 0.9175], [0.0825, 0.6400, 0.4130], [0.0825, 0.9425, 0.6695], [0.0870, 0.7270, 0.6695], [0.0870, 0.8600, 0.4175], [0.1400, 0.0575, 0.2270], [0.1400, 0.5825, 0.9130], [0.1695, 0.2270, 0.5870], [0.1695, 0.4425, 0.5825], [0.2270, 0.1400, 0.0575], [0.2270, 0.5870, 0.1695], [0.2730, 0.3305, 0.9130], [0.2730, 0.4425, 0.3600], [0.3305, 0.9130, 0.2730], [0.3305, 0.9175, 0.0575], [0.3600, 0.2730, 0.4425], [0.3600, 0.5870, 0.9175], [0.4130, 0.0825, 0.6400], [0.4130, 0.8305, 0.7730], [0.4175, 0.0870, 0.8600], [0.4175, 0.8305, 0.5575], [0.4425, 0.3600, 0.2730], [0.4425, 0.5825, 0.1695], [0.5575, 0.4175, 0.8305], [0.5575, 0.6400, 0.7270], [0.5825, 0.1695, 0.4425], [0.5825, 0.9130, 0.1400], [0.5870, 0.1695, 0.2270], [0.5870, 0.9175, 0.3600], [0.6400, 0.4130, 0.0825], [0.6400, 0.7270, 0.5575], [0.6695, 0.0825, 0.9425], [0.6695, 0.0870, 0.7270], [0.7270, 0.5575, 0.6400], [0.7270, 0.6695, 0.0870], [0.7730, 0.4130, 0.8305], [0.7730, 0.8600, 0.9425], [0.8305, 0.5575, 0.4175], [0.8305, 0.7730, 0.4130], [0.8600, 0.4175, 0.0870], [0.8600, 0.9425, 0.7730], [0.9130, 0.1400, 0.5825], [0.9130, 0.2730, 0.3305], [0.9175, 0.0575, 0.3305], [0.9175, 0.3600, 0.5870], [0.9425, 0.6695, 0.0825], [0.9425, 0.7730, 0.8600], [0.1250, 0.2500, 0.3750], [0.1250, 0.3750, 0.7500], [0.2500, 0.3750, 0.1250], [0.2500, 0.8750, 0.6250], [0.3750, 0.1250, 0.2500], [0.3750, 0.7500, 0.1250], [0.6250, 0.2500, 0.8750], [0.6250, 0.8750, 0.7500], [0.7500, 0.1250, 0.3750], [0.7500, 0.6250, 0.8750], [0.8750, 0.6250, 0.2500], [0.8750, 0.7500, 0.6250], [0.0000, 0.0000, 0.0000], [0.0000, 0.0000, 0.5000], [0.0000, 0.5000, 0.0000], [0.0000, 0.5000, 0.5000], [0.1250, 0.7500, 0.8750], [0.1250, 0.8750, 0.2500], [0.2500, 0.1250, 0.8750], [0.2500, 0.6250, 0.3750], [0.3750, 0.2500, 0.6250], [0.3750, 0.6250, 0.7500], [0.5000, 0.0000, 0.0000], [0.5000, 0.0000, 0.5000], [0.5000, 0.5000, 0.0000], [0.5000, 0.5000, 0.5000], [0.6250, 0.3750, 0.2500], [0.6250, 0.7500, 0.3750], [0.7500, 0.3750, 0.6250], [0.7500, 0.8750, 0.1250], [0.8750, 0.1250, 0.7500], [0.8750, 0.2500, 0.1250]]}